Computed, not measured: a geometry-optimized K3Na5I12 structure at the PBE level of DFT.

Properties
- Formation energy from raw total energies: -0.8831 eV per atom
- Total DFT energy (no corrections): -2.31 eV/atom

a b c (Å): 16.941 16.941 16.941
angles (deg): 109.47 109.47 109.47
Site moments in Bohr magnetons follow the coordinates.
Fractional coordinates of all 80 atoms:
K 0.750 0.375 0.125  0.00
K 0.875 0.750 0.125  0.00
K 0.375 0.750 0.625  0.00
K 0.250 0.125 0.375  0.00
K 0.875 0.125 0.250  0.00
K 0.375 0.625 0.250  0.00
K 0.625 0.375 0.750  0.00
K 0.125 0.875 0.750  0.00
K 0.750 0.875 0.625  0.00
K 0.625 0.250 0.375  0.00
K 0.125 0.250 0.875  0.00
K 0.250 0.625 0.875  0.00
Na 0.125 0.375 0.250  0.00
Na 0.000 0.500 0.000  0.00
Na 0.000 0.000 0.000  0.00
Na 0.375 0.250 0.125  0.00
Na 0.500 0.000 0.500  0.00
Na 0.500 0.500 0.000  0.00
Na 0.125 0.750 0.375  0.00
Na 0.750 0.125 0.875  0.00
Na 0.750 0.625 0.375  0.00
Na 0.375 0.125 0.750  0.00
Na 0.625 0.875 0.250  0.00
Na 0.500 0.500 0.500  0.00
Na 0.500 0.000 0.000  0.00
Na 0.000 0.000 0.500  0.00
Na 0.250 0.375 0.625  0.00
Na 0.250 0.875 0.125  0.00
Na 0.000 0.500 0.500  0.00
Na 0.875 0.250 0.625  0.00
Na 0.625 0.750 0.875  0.00
Na 0.875 0.625 0.750  0.00
I 0.718 0.099 0.035  0.22
I 0.318 0.535 0.436  0.22
I 0.965 0.401 0.282  0.22
I 0.535 0.218 0.099  0.22
I 0.619 0.718 0.682  0.22
I 0.965 0.564 0.182  0.22
I 0.318 0.782 0.381  0.22
I 0.064 0.881 0.099  0.22
I 0.564 0.965 0.682  0.22
I 0.718 0.619 0.182  0.22
I 0.782 0.465 0.401  0.22
I 0.818 0.936 0.035  0.22
I 0.099 0.718 0.535  0.22
I 0.401 0.436 0.119  0.22
I 0.119 0.936 0.401  0.22
I 0.381 0.099 0.564  0.22
I 0.119 0.182 0.218  0.22
I 0.465 0.682 0.064  0.22
I 0.818 0.881 0.282  0.22
I 0.099 0.381 0.064  0.22
I 0.401 0.965 0.782  0.22
I 0.564 0.599 0.381  0.22
I 0.936 0.818 0.535  0.22
I 0.782 0.318 0.881  0.22
I 0.436 0.401 0.619  0.22
I 0.064 0.182 0.465  0.22
I 0.218 0.682 0.119  0.22
I 0.182 0.119 0.718  0.22
I 0.599 0.035 0.218  0.22
I 0.901 0.619 0.936  0.22
I 0.535 0.318 0.936  0.22
I 0.619 0.901 0.436  0.22
I 0.881 0.818 0.782  0.22
I 0.881 0.064 0.599  0.22
I 0.901 0.282 0.465  0.22
I 0.182 0.064 0.965  0.22
I 0.599 0.564 0.881  0.22
I 0.436 0.035 0.318  0.22
I 0.282 0.381 0.818  0.22
I 0.218 0.535 0.599  0.22
I 0.936 0.119 0.901  0.22
I 0.682 0.218 0.619  0.22
I 0.465 0.782 0.901  0.22
I 0.035 0.436 0.818  0.22
I 0.381 0.282 0.318  0.22
I 0.035 0.599 0.718  0.22
I 0.682 0.465 0.564  0.22
I 0.282 0.901 0.965  0.22


Computed, not measured: a geometry-optimized Ti2HgSb structure at the PBE level of DFT.

Properties
- Formation energy from raw total energies: -0.0715 eV per atom
- Total DFT energy (no corrections): -5.13 eV/atom
- Offset from the most stable computed form: 0.068 eV/atom

a b c (Å): 4.778 4.778 4.778
angles (deg): 60.00 60.00 60.00
Fractional coordinates of all 4 atoms:
Sb 0.000 0.000 0.000
Hg 0.500 0.500 0.500
Ti 0.250 0.250 0.250
Ti 0.750 0.750 0.750


Computed, not measured: a geometry-optimized TlV3Br structure at the PBE level of DFT.

Properties
- Formation energy from raw total energies: 0.9835 eV per atom
- Total DFT energy (no corrections): -5.30 eV/atom

a b c (Å): 4.529 4.529 4.529
angles (deg): 90.00 90.00 90.00
Site moments in Bohr magnetons follow the coordinates.
Fractional coordinates of all 5 atoms:
Tl 0.500 0.500 0.500  -0.02
Br 0.000 0.000 0.000  0.01
V 0.000 0.500 0.000  0.38
V 0.000 0.000 0.500  0.38
V 0.500 0.000 0.000  0.38


Computed, not measured: a geometry-optimized ZrIn2Ir structure at the PBE level of DFT.

Properties
- Total DFT energy (no corrections): -5.95 eV/atom
- Formation energy: -0.228 eV/atom

a b c (Å): 5.198 5.198 5.198
angles (deg): 130.98 130.78 72.01
Fractional coordinates of all 4 atoms:
In 0.000 0.000 0.000
In 0.750 0.250 0.500
Ir 0.499 0.499 0.000
Zr 0.251 0.751 0.500


Computed, not measured: a geometry-optimized Li4Zn5Ag2 structure at the PBE level of DFT.

Properties
- Total DFT energy (no corrections): -1.81 eV/atom
- Formation energy: -0.021 eV/atom
- Offset from the most stable computed form: 0.110 eV/atom

a b c (Å): 2.747 6.884 11.020
angles (deg): 110.09 97.16 90.00
Fractional coordinates of all 11 atoms:
Li 0.674 0.643 0.347
Li 0.955 0.594 0.910
Li 0.326 0.357 0.653
Li 0.045 0.406 0.090
Zn 0.206 0.035 0.412
Zn 0.794 0.965 0.588
Zn 0.137 0.262 0.274
Zn 0.500 0.000 0.000
Zn 0.863 0.738 0.726
Ag 0.079 0.820 0.159
Ag 0.921 0.180 0.841


Computed, not measured: a geometry-optimized CaGaPdN2 structure at the PBE level of DFT.

Properties
- Formation energy from raw total energies: 0.9152 eV per atom
- Total DFT energy (no corrections): -4.46 eV/atom

a b c (Å): 4.233 4.699 4.233
angles (deg): 90.00 90.00 90.00
Site moments in Bohr magnetons follow the coordinates.
Fractional coordinates of all 5 atoms:
Ca 0.500 0.500 0.500  -0.02
Ga 0.000 0.500 0.000  -0.06
Pd 0.000 0.000 0.000  0.18
N 0.000 0.000 0.500  0.36
N 0.500 0.000 0.000  0.60


Computed, not measured: a geometry-optimized VCoMo structure at the PBE level of DFT.

Properties
- Total DFT energy (no corrections): -8.85 eV/atom
- Formation energy: 0.168 eV/atom
- Offset from the most stable computed form: 0.083 eV/atom

a b c (Å): 3.493 3.493 6.623
angles (deg): 90.00 90.00 90.00
Fractional coordinates of all 6 atoms:
V 0.000 0.000 0.000
V 0.500 0.500 0.000
Co 0.000 0.500 0.264
Co 0.500 0.000 0.736
Mo 0.000 0.500 0.634
Mo 0.500 0.000 0.366


Computed, not measured: a geometry-optimized ThFeSi2Mo structure at the PBE level of DFT.

Properties
- Formation energy from raw total energies: -0.5053 eV per atom
- Total DFT energy (no corrections): -8.02 eV/atom

a b c (Å): 4.069 4.069 6.043
angles (deg): 109.67 109.67 90.00
Site moments in Bohr magnetons follow the coordinates.
Fractional coordinates of all 5 atoms:
Th 0.000 0.000 0.000  0.01
Fe 0.750 0.250 0.500  1.95
Si 0.620 0.620 0.239  -0.03
Si 0.380 0.380 0.761  -0.03
Mo 0.250 0.750 0.500  0.56


Computed, not measured: a geometry-optimized CaNd12Dy5 structure at the PBE level of DFT.

Properties
- Total DFT energy (no corrections): -4.54 eV/atom
- Formation energy: 0.032 eV/atom

a b c (Å): 15.441 10.952 5.178
angles (deg): 90.00 90.00 45.18
Fractional coordinates of all 18 atoms:
Ca 0.000 0.000 0.000
Nd 0.829 0.000 0.500
Nd 0.171 0.000 0.500
Nd 0.666 0.000 0.000
Nd 0.334 0.000 0.000
Nd 0.337 0.661 0.000
Nd 0.002 0.661 0.000
Nd 0.998 0.339 0.000
Nd 0.663 0.339 0.000
Nd 0.499 0.333 0.500
Nd 0.831 0.667 0.500
Nd 0.169 0.333 0.500
Nd 0.501 0.667 0.500
Dy 0.500 0.000 0.500
Dy 0.173 0.655 0.500
Dy 0.827 0.345 0.500
Dy 0.666 0.668 0.000
Dy 0.334 0.332 0.000


Computed, not measured: a geometry-optimized SnHg structure at the PBE level of DFT.

Properties
- Total DFT energy (no corrections): -2.06 eV/atom
- Formation energy: 0.094 eV/atom

a b c (Å): 9.931 9.931 4.106
angles (deg): 90.00 90.00 120.00
Fractional coordinates of all 12 atoms:
Sn 0.745 0.945 0.250
Sn 0.800 0.745 0.750
Sn 0.055 0.800 0.250
Sn 0.255 0.055 0.750
Sn 0.200 0.255 0.250
Sn 0.945 0.200 0.750
Hg 0.868 0.395 0.250
Hg 0.472 0.868 0.750
Hg 0.605 0.472 0.250
Hg 0.132 0.605 0.750
Hg 0.528 0.132 0.250
Hg 0.395 0.528 0.750


Computed, not measured: a geometry-optimized InTeMoI2 structure at the PBE level of DFT.

Properties
- Formation energy from raw total energies: 0.8833 eV per atom
- Total DFT energy (no corrections): -3.08 eV/atom
- Offset from the most stable computed form: 0.718 eV/atom

a b c (Å): 5.771 5.771 6.020
angles (deg): 90.00 90.00 90.00
Site moments in Bohr magnetons follow the coordinates.
Fractional coordinates of all 5 atoms:
I 0.000 0.500 0.000  0.00
I 0.500 0.000 0.000  0.00
Mo 0.500 0.500 0.500  3.96
Te 0.000 0.000 0.500  -0.21
In 0.000 0.000 0.000  0.02


Computed, not measured: a geometry-optimized Ac2SbPd6 structure at the PBE level of DFT.

Properties
- Formation energy from raw total energies: -0.7601 eV per atom
- Total DFT energy (no corrections): -5.59 eV/atom

a b c (Å): 6.007 5.990 6.343
angles (deg): 78.39 90.00 120.10
Fractional coordinates of all 9 atoms:
Ac 0.637 0.274 0.183
Ac 0.363 0.726 0.817
Sb 0.000 0.000 0.000
Pd 0.875 0.280 0.682
Pd 0.877 0.754 0.676
Pd 0.405 0.280 0.682
Pd 0.125 0.720 0.318
Pd 0.123 0.246 0.324
Pd 0.595 0.720 0.318